1.
The following is a DFT calculation (SCAN) of a PBEsol-optimized structure of Hf2Zn2Hg.

a b c (Å): 4.0172 6.6462 6.6462
angles (deg): 90.00 90.00 90.00
Closest atoms and distances in Å follow each position.
Sites, in units of the cell vectors:
Zn 0.0000 0.3712 0.8712  1 Zn 2.42, 2 Hg 2.61
Zn 0.0000 0.8712 0.6288  1 Zn 2.42, 2 Hg 2.61
Zn 0.0000 0.6288 0.1288  1 Zn 2.42, 2 Hg 2.61
Zn 0.0000 0.1288 0.3712  1 Zn 2.42, 2 Hg 2.61
Hf 0.5000 0.1676 0.6676  6 Zn 2.77-2.83
Hf 0.5000 0.6676 0.8324  6 Zn 2.77-2.83
Hf 0.5000 0.8324 0.3324  6 Zn 2.77-2.83
Hf 0.5000 0.3324 0.1676  6 Zn 2.77-2.83
Hg 0.0000 0.0000 0.0000  4 Zn 2.61
Hg 0.0000 0.5000 0.5000  4 Zn 2.61

spin magnetization: 0.0 μB/cell
theoretical density: 12884 kg/m3
total DFT energy (no corrections): -44.3847 eV per atom


2.
The following is a DFT calculation (SCAN) of a PBEsol-optimized structure of Y2ScSeI.

a b c (Å): 4.9241 5.3989 5.3989
angles (deg): 90.00 90.00 90.00
Closest atoms and distances in Å follow each position.
Sites, in units of the cell vectors:
I 0.5000 0.5000 0.5000  8 Y 3.65, 4 Sc 3.82
Y 0.0000 0.0000 0.5000  2 Se 2.70
Y 0.0000 0.5000 0.0000  2 Se 2.70
Sc 0.5000 0.0000 0.0000  2 Se 2.46
Se 0.0000 0.0000 0.0000  2 Sc 2.46, 4 Y 2.70

spin magnetization: 4.2 μB/cell
theoretical density: 4959 kg/m3
energy relative to the elements, uncorrected: -2.21 eV/f.u.


3.
The following is a DFT calculation (SCAN) of a PBEsol-optimized structure of HgSN2O.

a b c (Å): 4.2274 4.2274 5.1288
angles (deg): 90.00 90.00 90.00
Closest atoms and distances in Å follow each position.
Sites, in units of the cell vectors:
S 0.0000 0.0000 0.5000  2 Hg 2.56
Hg 0.0000 0.0000 0.0000  4 N 2.11
O 0.5000 0.5000 0.5000  4 S 2.99, 8 N 3.32
N 0.0000 0.5000 0.0000  2 Hg 2.11
N 0.5000 0.0000 0.0000  2 Hg 2.11

spin magnetization: 6.8 μB/cell
theoretical density: 5012 kg/m3
energy relative to the elements, uncorrected: 12.14 eV/f.u.


4.
The following is a DFT calculation (SCAN) of a PBEsol-optimized structure of Cs2NbI.

a b c (Å): 6.2951 6.2951 6.2951
angles (deg): 60.00 60.00 60.00
Closest atoms and distances in Å follow each position.
Sites, in units of the cell vectors:
Cs 0.2500 0.2500 0.2500  4 Nb 3.85, 4 I 3.85
Cs 0.7500 0.7500 0.7500  4 I 3.85, 4 Nb 3.85
I 0.5000 0.5000 0.5000  8 Cs 3.85
Nb 0.0000 0.0000 0.0000  8 Cs 3.85

spin magnetization: 6.0 μB/cell
theoretical density: 4571 kg/m3
energy relative to the elements, uncorrected: 1.27 eV/f.u.


5.
The following is a DFT calculation (SCAN) of a PBEsol-optimized structure of YAl2.

a b c (Å): 4.6796 4.8602 5.9402
angles (deg): 114.15 90.00 90.00
Closest atoms and distances in Å follow each position.
Sites, in units of the cell vectors:
Y 0.7500 0.2329 0.0000  6 Al 2.99-3.16, 2 Y 3.26
Y 0.2500 0.7671 0.0000  6 Al 2.99-3.16, 2 Y 3.26
Al 0.7500 0.8667 0.3822  6 Al 2.75-2.90, 1 Y 2.99
Al 0.2500 0.1333 0.6178  6 Al 2.75-2.90, 1 Y 2.99
Al 0.7500 0.4845 0.6178  6 Al 2.75-2.90, 1 Y 2.99
Al 0.2500 0.5155 0.3822  6 Al 2.75-2.90, 1 Y 2.99

spin magnetization: 0.7 μB/cell
theoretical density: 3849 kg/m3
total DFT energy (no corrections): -14.7483 eV per atom


6.
The following is a DFT calculation (SCAN) of a PBEsol-optimized structure of K2SbRu.

a b c (Å): 5.1212 5.1212 5.1212
angles (deg): 60.00 60.00 60.00
Closest atoms and distances in Å follow each position.
Sites, in units of the cell vectors:
K 0.0000 0.0000 0.0000  4 Sb 3.14, 4 K 3.14
K 0.7500 0.7500 0.7500  4 Ru 3.14, 4 K 3.14
Ru 0.5000 0.5000 0.5000  4 K 3.14, 4 Sb 3.14
Sb 0.2500 0.2500 0.2500  4 Ru 3.14, 4 K 3.14

spin magnetization: 2.9 μB/cell
theoretical density: 5263 kg/m3
energy relative to the elements, uncorrected: 1.81 eV/f.u.


7.
The following is a DFT calculation (SCAN) of a PBEsol-optimized structure of Ba3DyB9O18.

a b c (Å): 7.2059 7.2059 16.7076
angles (deg): 90.00 90.00 120.00
Closest atoms and distances in Å follow each position.
Sites, in units of the cell vectors:
Ba 0.6667 0.3333 0.6295  9 O 2.70-2.98
Ba 0.3333 0.6667 0.3705  9 O 2.70-2.98
Ba 0.3333 0.6667 0.1295  9 O 2.70-2.98
Ba 0.6667 0.3333 0.8705  9 O 2.70-2.98
Ba 0.0000 0.0000 0.7500  6 O 2.74-2.88
Ba 0.0000 0.0000 0.2500  6 O 2.74-2.88
Dy 0.0000 0.0000 0.5000  6 O 2.25
Dy 0.0000 0.0000 0.0000  6 O 2.25
B 0.1639 0.4484 0.5833  3 O 1.33-1.41
B 0.8361 0.5516 0.4167  3 O 1.33-1.41
B 0.5516 0.7155 0.5833  3 O 1.33-1.41
B 0.8361 0.5516 0.0833  3 O 1.33-1.41
B 0.4484 0.2845 0.4167  3 O 1.33-1.41
B 0.1639 0.4484 0.9167  3 O 1.33-1.41
B 0.2845 0.8361 0.5833  3 O 1.33-1.41
B 0.4484 0.2845 0.0833  3 O 1.33-1.41
B 0.7155 0.1639 0.4167  3 O 1.33-1.41
B 0.5516 0.7155 0.9167  3 O 1.33-1.41
B 0.7155 0.1639 0.0833  3 O 1.33-1.41
B 0.2845 0.8361 0.9167  3 O 1.33-1.41
B 0.3791 0.4946 0.7500  3 O 1.33-1.41
B 0.6209 0.5054 0.2500  3 O 1.33-1.41
B 0.5054 0.8845 0.7500  3 O 1.33-1.41
B 0.4946 0.1155 0.2500  3 O 1.33-1.41
B 0.1155 0.6209 0.7500  3 O 1.33-1.41
B 0.8845 0.3791 0.2500  3 O 1.33-1.41
O 0.1667 0.4565 0.7500  2 B 1.41
O 0.8333 0.5435 0.2500  2 B 1.41
O 0.5435 0.7102 0.7500  2 B 1.41
O 0.4565 0.2898 0.2500  2 B 1.41
O 0.2898 0.8333 0.7500  2 B 1.41
O 0.7102 0.1667 0.2500  2 B 1.41
O 0.6690 0.0838 0.7500  1 B 1.33
O 0.3310 0.9162 0.2500  1 B 1.33
O 0.9162 0.5851 0.7500  1 B 1.33
O 0.0838 0.4149 0.2500  1 B 1.33
O 0.4149 0.3310 0.7500  1 B 1.33
O 0.5851 0.6690 0.2500  1 B 1.33
O 0.0020 0.2472 0.5833  1 B 1.33
O 0.9980 0.7528 0.4167  1 B 1.33
O 0.7528 0.7548 0.5833  1 B 1.33
O 0.9980 0.7528 0.0833  1 B 1.33
O 0.2472 0.2452 0.4167  1 B 1.33
O 0.0020 0.2472 0.9167  1 B 1.33
O 0.2452 0.9980 0.5833  1 B 1.33
O 0.2472 0.2452 0.0833  1 B 1.33
O 0.7548 0.0020 0.4167  1 B 1.33
O 0.7528 0.7548 0.9167  1 B 1.33
O 0.7548 0.0020 0.0833  1 B 1.33
O 0.2452 0.9980 0.9167  1 B 1.33
O 0.3803 0.5024 0.5824  2 B 1.41
O 0.6197 0.4976 0.4176  2 B 1.41
O 0.4976 0.8779 0.5824  2 B 1.41
O 0.6197 0.4976 0.0824  2 B 1.41
O 0.5024 0.1221 0.4176  2 B 1.41
O 0.3803 0.5024 0.9176  2 B 1.41
O 0.1221 0.6197 0.5824  2 B 1.41
O 0.5024 0.1221 0.0824  2 B 1.41
O 0.8779 0.3803 0.4176  2 B 1.41
O 0.4976 0.8779 0.9176  2 B 1.41
O 0.8779 0.3803 0.0824  2 B 1.41
O 0.1221 0.6197 0.9176  2 B 1.41

spin magnetization: 0.0 μB/cell
theoretical density: 4242 kg/m3
energy relative to the elements, uncorrected: -91.75 eV/f.u.


8.
The following is a DFT calculation (SCAN) of a PBEsol-optimized structure of Mg2CoSe.

a b c (Å): 3.8061 3.8061 5.2647
angles (deg): 111.19 111.19 90.00
Closest atoms and distances in Å follow each position.
Sites, in units of the cell vectors:
Co 0.2500 0.7500 0.5000  8 Mg 2.69-2.96, 4 Se 2.96
Mg 0.0000 0.0000 0.0000  4 Se 2.69, 4 Co 2.96, 4 Mg 2.96
Mg 0.7500 0.2500 0.5000  4 Co 2.69, 4 Se 2.96, 4 Mg 2.96
Se 0.5000 0.5000 0.0000  8 Mg 2.69-2.96, 4 Co 2.96

spin magnetization: 1.7 μB/cell
theoretical density: 4725 kg/m3
energy relative to the elements, uncorrected: -0.26 eV/f.u.


9.
The following is a DFT calculation (SCAN) of a PBEsol-optimized structure of BeFeSi.

a b c (Å): 2.7942 2.7942 4.1557
angles (deg): 109.64 109.64 90.00
Closest atoms and distances in Å follow each position.
Sites, in units of the cell vectors:
Be 0.9942 0.9942 0.9883  5 Fe 2.28-2.51, 5 Si 2.35-2.38
Si 0.6680 0.6680 0.3361  5 Fe 2.33-2.41, 5 Be 2.35-2.38
Fe 0.3378 0.3378 0.6756  5 Be 2.28-2.51, 5 Si 2.33-2.41

spin magnetization: 0.0 μB/cell
theoretical density: 5407 kg/m3
energy relative to the elements, uncorrected: -1.12 eV/f.u.


10.
The following is a DFT calculation (SCAN) of a PBEsol-optimized structure of Ir2PbCl.

a b c (Å): 4.5815 4.5815 4.5815
angles (deg): 60.00 60.00 60.00
Closest atoms and distances in Å follow each position.
Sites, in units of the cell vectors:
Pb 0.5000 0.5000 0.5000  8 Ir 2.81
Ir 0.7500 0.7500 0.7500  4 Cl 2.81, 4 Pb 2.81
Ir 0.2500 0.2500 0.2500  4 Cl 2.81, 4 Pb 2.81
Cl 0.0000 0.0000 0.0000  8 Ir 2.81

spin magnetization: 0.0 μB/cell
theoretical density: 15313 kg/m3
energy relative to the elements, uncorrected: 4.61 eV/f.u.


11.
The following is a DFT calculation (SCAN) of a PBEsol-optimized structure of Cu3P2H2O9.

a b c (Å): 6.1936 9.3976 12.1261
angles (deg): 103.22 90.00 109.24
Closest atoms and distances in Å follow each position.
Sites, in units of the cell vectors:
Cu 0.1475 0.4763 0.9012  4 O 1.95-2.01
Cu 0.6712 0.5238 0.5988  4 O 1.95-2.01
Cu 0.8525 0.5237 0.0988  4 O 1.95-2.01
Cu 0.3288 0.4762 0.4012  4 O 1.95-2.01
Cu 0.2779 0.1753 0.8581  4 O 1.93-1.97
Cu 0.1026 0.8247 0.6420  4 O 1.93-1.97
Cu 0.7221 0.8247 0.1419  4 O 1.93-1.97
Cu 0.8974 0.1753 0.3580  4 O 1.93-1.97
Cu 0.4831 0.7696 0.8151  4 O 1.90-2.01
Cu 0.7132 0.2304 0.6849  4 O 1.90-2.01
Cu 0.5169 0.2304 0.1849  4 O 1.90-2.01
Cu 0.2868 0.7696 0.3151  4 O 1.90-2.01
P 0.3526 0.4957 0.1431  4 O 1.51-1.57
P 0.8569 0.5043 0.3569  4 O 1.51-1.57
P 0.6474 0.5043 0.8569  4 O 1.51-1.57
P 0.1431 0.4957 0.6431  4 O 1.51-1.57
P 0.7510 0.1334 0.9025  4 O 1.52-1.58
P 0.6176 0.8667 0.5976  4 O 1.52-1.58
P 0.2490 0.8666 0.0975  4 O 1.52-1.58
P 0.3824 0.1333 0.4024  4 O 1.52-1.58
H 0.9638 0.9402 0.8623  1 O 1.03
H 0.0237 0.0599 0.6377  1 O 1.03
H 0.0362 0.0598 0.1377  1 O 1.03
H 0.9763 0.9401 0.3623  1 O 1.03
H 0.1941 0.9048 0.9056  1 O 1.03
H 0.2893 0.0952 0.5943  1 O 1.03
H 0.8059 0.0952 0.0944  1 O 1.03
H 0.7107 0.9048 0.4057  1 O 1.03
O 0.1579 0.5115 0.0715  1 P 1.55
O 0.6465 0.4886 0.4285  1 P 1.55
O 0.8421 0.4885 0.9285  1 P 1.55
O 0.3535 0.5114 0.5715  1 P 1.55
O 0.9956 0.2221 0.8724  1 P 1.56
O 0.7735 0.7779 0.6277  1 P 1.56
O 0.0044 0.7779 0.1276  1 P 1.56
O 0.2265 0.2221 0.3723  1 P 1.56
O 0.7283 0.9595 0.8708  1 H 1.53, 1 P 1.55
O 0.7687 0.0405 0.6293  1 H 1.53, 1 P 1.55
O 0.2717 0.0405 0.1292  1 H 1.53, 1 P 1.55
O 0.2313 0.9595 0.3707  1 H 1.53, 1 P 1.55
O 0.4102 0.4039 0.8896  1 P 1.57
O 0.0063 0.5961 0.6104  1 P 1.57
O 0.5898 0.5961 0.1104  1 P 1.57
O 0.9937 0.4039 0.3896  1 P 1.57
O 0.6682 0.6736 0.8789  1 P 1.51
O 0.9945 0.3264 0.6212  1 P 1.51
O 0.3318 0.3264 0.1211  1 P 1.51
O 0.0055 0.6736 0.3788  1 P 1.51
O 0.4130 0.8351 0.6766  1 P 1.58
O 0.5780 0.1649 0.8235  1 P 1.58
O 0.5870 0.1649 0.3234  1 P 1.58
O 0.4220 0.8351 0.1765  1 P 1.58
O 0.2876 0.8142 0.9729  1 P 1.52, 1 H 1.54
O 0.4734 0.1858 0.5270  1 P 1.52, 1 H 1.54
O 0.7124 0.1858 0.0271  1 P 1.52, 1 H 1.54
O 0.5266 0.8142 0.4730  1 P 1.52, 1 H 1.54
O 0.1338 0.9559 0.8514  2 H 1.03
O 0.1780 0.0441 0.6486  2 H 1.03
O 0.8662 0.0441 0.1486  2 H 1.03
O 0.8220 0.9559 0.3514  2 H 1.03
O 0.3346 0.5690 0.2709  1 P 1.57
O 0.7655 0.4310 0.2291  1 P 1.57
O 0.6654 0.4310 0.7291  1 P 1.57
O 0.2345 0.5690 0.7709  1 P 1.57

spin magnetization: 11.7 μB/cell
theoretical density: 4095 kg/m3
total DFT energy (no corrections): -9.7019 eV per atom


12.
The following is a DFT calculation (SCAN) of a PBEsol-optimized structure of KRb3CdCl6.

a b c (Å): 8.7220 8.7220 8.7220
angles (deg): 90.34 90.34 90.34
Closest atoms and distances in Å follow each position.
Sites, in units of the cell vectors:
K 0.2500 0.2500 0.2500  6 Cl 3.08
K 0.7500 0.7500 0.7500  6 Cl 3.08
Rb 0.1264 0.7500 0.3736  8 Cl 3.30-3.43
Rb 0.7500 0.3736 0.1264  8 Cl 3.30-3.43
Rb 0.3736 0.1264 0.7500  8 Cl 3.30-3.43
Rb 0.8736 0.2500 0.6264  8 Cl 3.30-3.43
Rb 0.6264 0.8736 0.2500  8 Cl 3.30-3.43
Rb 0.2500 0.6264 0.8736  8 Cl 3.30-3.43
Cd 0.0000 0.0000 0.0000  6 Cl 2.64
Cd 0.5000 0.5000 0.5000  6 Cl 2.64
Cl 0.0750 0.2881 0.9456  1 Cd 2.64
Cl 0.2881 0.9456 0.0750  1 Cd 2.64
Cl 0.9456 0.0750 0.2881  1 Cd 2.64
Cl 0.4456 0.7881 0.5750  1 Cd 2.64
Cl 0.5750 0.4456 0.7881  1 Cd 2.64
Cl 0.7881 0.5750 0.4456  1 Cd 2.64
Cl 0.4250 0.5544 0.2119  1 Cd 2.64
Cl 0.5544 0.2119 0.4250  1 Cd 2.64
Cl 0.2119 0.4250 0.5544  1 Cd 2.64
Cl 0.7119 0.0544 0.9250  1 Cd 2.64
Cl 0.9250 0.7119 0.0544  1 Cd 2.64
Cl 0.0544 0.9250 0.7119  1 Cd 2.64

spin magnetization: 0.0 μB/cell
theoretical density: 3107 kg/m3
energy relative to the elements, uncorrected: -21.67 eV/f.u.